{
  "formula": "ScCd2Tc",
  "functional": "SCAN",
  "state": "PBEsol geometry",
  "lattice_angstrom": [[-2.060, 2.060, 4.237], [2.060, -2.060, 4.237], [2.060, 2.060, -4.237]],
  "species": ["Sc", "Cd", "Cd", "Tc"],
  "fractional_positions": [[0.000, 0.000, 0.000], [0.250, 0.750, 0.500], [0.500, 0.500, 0.000], [0.750, 0.250, 0.500]],
  "mass_density_g_cm3": 8.50,
  "energy_ha_per_atom": -1.01060,
  "formation_enthalpy_0k_ev_per_atom": 0.032
}

{
  "formula": "ScCdTc2",
  "functional": "SCAN",
  "state": "PBEsol geometry",
  "lattice_angstrom": [[1.428, 0.824, 9.356], [-1.428, 0.824, 9.356], [0.000, -1.648, 9.356]],
  "species": ["Sc", "Cd", "Tc", "Tc"],
  "fractional_positions": [[0.000, 0.000, 0.000], [0.500, 0.500, 0.500], [0.252, 0.252, 0.252], [0.748, 0.748, 0.748]],
  "mass_density_g_cm3": 8.88,
  "energy_ha_per_atom": -1.04069,
  "formation_enthalpy_0k_ev_per_atom": 0.374
}

{
  "formula": "ScCdTe",
  "functional": "SCAN",
  "state": "PBEsol geometry",
  "lattice_angstrom": [[0.000, 3.423, 3.423], [3.423, 0.000, 3.423], [3.423, 3.423, 0.000]],
  "species": ["Sc", "Cd", "Te"],
  "fractional_positions": [[0.000, 0.000, 0.000], [0.750, 0.750, 0.750], [0.250, 0.250, 0.250]],
  "raw_formation_energy_ev_per_atom": -0.37,
  "mass_density_g_cm3": 5.90,
  "energy_ha_per_atom": -1.01675
}